A plane-wave DFT calculation with PBE-GGA was carried out for a relaxed TbDy2In3PdAu2 crystal.

abc: 3.920 7.770 7.770
angles: 120.05 90.00 90.00
Atoms (fractional coordinates):
Dy: 0.000 0.000 0.595
Dy: 0.000 0.595 0.000
In: 0.500 0.000 0.255
In: 0.500 0.745 0.745
In: 0.500 0.255 0.000
Au: 0.500 0.667 0.333
Au: 0.500 0.333 0.667
Tb: 0.000 0.405 0.405
Pd: 0.000 0.999 0.999

Results
* symmetry: No. 38
* uncorrected energy: -4.545 eV/atom

=====

A plane-wave DFT calculation with PBE-GGA was carried out for a relaxed LiPuIr crystal.

abc: 4.430 4.430 4.430
angles: 60.00 60.00 60.00
Atoms (fractional coordinates):
Pu: 0.250 0.250 0.250
Li: 0.750 0.750 0.750
Ir: 0.000 0.000 0.000

Results
* symmetry: No. 216
* distance to the lowest polymorph of the same formula: 0 kJ/mol of formula units

=====

A plane-wave DFT calculation with PBE-GGA was carried out for a relaxed AcBeMo crystal.

abc: 4.900 4.900 4.900
angles: 60.00 60.00 60.00
Atoms (fractional coordinates):
Be: 0.250 0.250 0.250
Ac: 0.000 0.000 0.000
Mo: 0.750 0.750 0.750

Results
* symmetry: No. 216
* distance to the lowest polymorph of the same formula: 236 kJ/mol of formula units

=====

A plane-wave DFT calculation with PBE-GGA was carried out for a relaxed InPt10 crystal.

abc: 4.784 4.784 33.214
angles: 90.03 90.03 48.35
Atoms (fractional coordinates):
In: 0.847 0.847 0.714
In: 0.153 0.153 0.286
Pt: 0.151 0.151 0.014
Pt: 0.850 0.850 0.259
Pt: 0.650 0.650 0.879
Pt: 0.948 0.948 0.176
Pt: 0.352 0.352 0.851
Pt: 0.849 0.849 0.986
Pt: 0.250 0.250 0.932
Pt: 0.248 0.248 0.203
Pt: 0.750 0.750 0.068
Pt: 0.546 0.546 0.233
Pt: 0.051 0.051 0.095
Pt: 0.454 0.454 0.767
Pt: 0.648 0.648 0.149
Pt: 0.350 0.350 0.121
Pt: 0.949 0.949 0.905
Pt: 0.150 0.150 0.741
Pt: 0.752 0.752 0.797
Pt: 0.451 0.451 0.040
Pt: 0.052 0.052 0.824
Pt: 0.549 0.549 0.960

Results
* symmetry: No. 12
* uncorrected energy: -5.759 eV/atom

=====

A plane-wave DFT calculation with PBE-GGA was carried out for a relaxed LiHfGaIr crystal.

abc: 4.441 4.441 4.441
angles: 60.00 60.00 60.00
Atoms (fractional coordinates):
Ga: 0.500 0.500 0.500
Hf: 0.000 0.000 0.000
Ir: 0.250 0.250 0.250
Li: 0.750 0.750 0.750

Results
* symmetry: No. 216
* distance to the lowest polymorph of the same formula: 0 kJ/mol of formula units

=====

A plane-wave DFT calculation with PBE-GGA was carried out for a relaxed Be2GaCo crystal.

abc: 3.869 3.869 3.869
angles: 60.00 60.00 60.00
Atoms (fractional coordinates):
Co: 0.250 0.250 0.250
Be: 0.000 0.000 0.000
Be: 0.750 0.750 0.750
Ga: 0.500 0.500 0.500

Results
* symmetry: No. 216
* uncorrected energy: -4.461 eV/atom

=====

A plane-wave DFT calculation with PBE-GGA was carried out for a relaxed ReBrO2 crystal.

abc: 9.771 9.771 3.575
angles: 90.00 90.00 157.77
Atoms (fractional coordinates):
Br: 0.820 0.180 0.750
Br: 0.180 0.820 0.250
O: 0.034 0.966 0.250
O: 0.966 0.034 0.750
O: 0.416 0.584 0.250
O: 0.584 0.416 0.750
Re: 0.919 0.081 0.250
Re: 0.081 0.919 0.750

Results
* symmetry: No. 63
* uncorrected energy: -6.980 eV/atom

=====

A plane-wave DFT calculation with PBE-GGA was carried out for a relaxed LiAlSiPd crystal.

abc: 4.281 4.281 4.281
angles: 60.00 60.00 60.00
Atoms (fractional coordinates):
Al: 0.500 0.500 0.500
Li: 0.750 0.750 0.750
Si: 0.000 0.000 0.000
Pd: 0.250 0.250 0.250

Results
* symmetry: No. 216
* distance to the lowest polymorph of the same formula: 0 kJ/mol of formula units

=====

A plane-wave DFT calculation with PBE-GGA was carried out for a relaxed LaCd8Ag4 crystal.

abc: 7.607 7.607 7.607
angles: 97.86 97.86 136.58
Atoms (fractional coordinates):
Cd: 0.347 0.000 0.347
Cd: 0.500 0.286 0.786
Cd: 0.714 0.500 0.214
Cd: 0.500 0.714 0.214
Cd: 0.000 0.653 0.653
Cd: 0.000 0.347 0.347
Cd: 0.286 0.500 0.786
Cd: 0.653 0.000 0.653
Ag: 0.500 0.500 0.500
Ag: 0.500 0.000 0.000
Ag: 0.000 0.000 0.500
Ag: 0.000 0.500 0.000
La: 0.000 0.000 0.000

Results
* symmetry: No. 139
* energy of formation: -0.178 eV per atom

=====

A plane-wave DFT calculation with PBE-GGA was carried out for a relaxed ZrAl crystal.

abc: 8.230 5.768 5.114
angles: 90.00 90.00 100.92
Atoms (fractional coordinates):
Al: 0.665 0.189 0.000
Al: 0.224 0.533 0.500
Al: 0.533 0.370 0.500
Al: 0.531 0.872 0.500
Al: 0.357 0.850 0.000
Al: 0.356 0.352 0.000
Zr: 0.029 0.531 0.000
Zr: 0.211 0.032 0.500
Zr: 0.032 0.025 0.000
Zr: 0.857 0.697 0.500
Zr: 0.678 0.690 0.000
Zr: 0.860 0.191 0.500

Results
* symmetry: No. 11
* uncorrected energy: -6.320 eV/atom

=====

A plane-wave DFT calculation with PBE-GGA was carried out for a relaxed KNaNiMo crystal.

abc: 5.013 5.013 5.013
angles: 60.00 60.00 60.00
Atoms (fractional coordinates):
Ni: 0.500 0.500 0.500
Mo: 0.250 0.250 0.250
Na: 0.750 0.750 0.750
K: 0.000 0.000 0.000

Results
* symmetry: No. 216
* distance to the lowest polymorph of the same formula: 12 kJ/mol of formula units

=====

A plane-wave DFT calculation with PBE-GGA was carried out for a relaxed LiAlGaPd crystal.

abc: 4.356 4.356 4.356
angles: 60.00 60.00 60.00
Atoms (fractional coordinates):
Pd: 0.000 0.000 0.000
Al: 0.250 0.250 0.250
Ga: 0.500 0.500 0.500
Li: 0.750 0.750 0.750

Results
* symmetry: No. 216
* distance to the lowest polymorph of the same formula: 33 kJ/mol of formula units